(1)
The following is a DFT calculation (PBE) of Np3Zn4Ir4 after structural relaxation.

Values from the calculation:
Density of states at the Fermi level (states/eV/atom): 1.95

Cell and atoms, written as POSCAR:
```
Np3Zn4Ir4
1.0
3.7665 0.0000 -0.9369
-0.9219 6.5622 -3.7060
0.0160 0.1864 8.1036
Np Ir Zn
3 4 4
direct
0.8865 0.8865 0.7731 Np
0.0000 0.5000 0.0000 Np
0.1135 0.1135 0.2269 Np
0.5000 0.2096 0.0000 Ir
0.5000 0.7904 0.0000 Ir
0.2369 0.7369 0.4739 Ir
0.7631 0.2631 0.5261 Ir
0.3227 0.1309 0.6454 Zn
0.6773 0.4855 0.3546 Zn
0.3227 0.5145 0.6454 Zn
0.6773 0.8691 0.3546 Zn
```



(2)
The following is a DFT calculation (PBE) of Mg4TlGa4 after structural relaxation.

Values from the calculation:
Density of states at the Fermi level (states/eV/atom): 0.28

Cell and atoms, written as POSCAR:
```
Mg4TlGa4
1.0
-2.1943 2.3513 -4.2653
5.8563 -3.5372 -4.9628
-5.0087 -6.7146 -1.1247
Mg Ga Tl
8 8 2
direct
0.3815 0.4272 0.8395 Mg
0.6185 0.1605 0.4272 Mg
0.8815 0.3395 0.0728 Mg
0.3815 0.5728 0.1605 Mg
0.1185 0.0728 0.6605 Mg
0.6185 0.8395 0.5728 Mg
0.8815 0.6605 0.9272 Mg
0.1185 0.9272 0.3395 Mg
0.6036 0.1142 0.7946 Ga
0.6036 0.8858 0.2054 Ga
0.3964 0.2054 0.1142 Ga
0.3964 0.7946 0.8858 Ga
0.8964 0.3858 0.7054 Ga
0.1036 0.7054 0.6142 Ga
0.8964 0.6142 0.2946 Ga
0.1036 0.2946 0.3858 Ga
0.0000 0.0000 0.0000 Tl
0.5000 0.5000 0.5000 Tl
```



(3)
The following is a DFT calculation (PBE) of KRb2Hg2F7 after structural relaxation.

Values from the calculation:
Uncorrected formation energy (eV/atom): -2.096

Cell and atoms, written as POSCAR:
```
KRb2Hg2F7
1.0
4.6461 -0.0031 0.0171
0.0026 4.6461 0.0171
2.3025 2.2997 11.4712
F K Hg Rb
7 1 2 2
direct
0.5918 0.0940 0.8098 F
0.9060 0.4082 0.1902 F
0.0940 0.5918 0.8098 F
0.4082 0.9060 0.1902 F
0.3022 0.3022 0.3983 F
0.5000 0.5000 0.0000 F
0.6978 0.6978 0.6017 F
0.0000 0.0000 0.0000 K
0.4009 0.4009 0.1999 Hg
0.5991 0.5991 0.8001 Hg
0.1822 0.1822 0.6362 Rb
0.8178 0.8178 0.3638 Rb
```



(4)
The following is a DFT calculation (PBE) of CsYSc2 after structural relaxation.

Values from the calculation:
Density of states at the Fermi level (states/eV/atom): 1.56
Relative energy among the computed polymorphs (meV per atom): 560.1

Cell and atoms, written as POSCAR:
```
CsYSc2
1.0
4.6950 0.0000 0.0000
0.0000 4.6950 0.0000
2.3475 2.3475 11.9641
Cs Y Sc
2 2 4
direct
0.0000 0.0000 0.0000 Cs
0.7500 0.2500 0.5000 Cs
0.2500 0.7500 0.5000 Y
0.5000 0.5000 0.0000 Y
0.8750 0.3893 0.7500 Sc
0.3750 0.8607 0.7500 Sc
0.1393 0.1250 0.2500 Sc
0.6107 0.6250 0.2500 Sc
```



Short version: E = -7.456; -2.352; -3.490; -3.997 eV/atom, in the order given.
Short version: total magnetization = 10.5; 0.0; 0.0; 3.9 μB/cell, in the order given.